Record 1
# Na2AgHg3

A geometry-optimized Na2AgHg3 structure (GGA-PBE, Alexandria).

abc: 6.351 10.218 10.218
angles: 120.00 90.00 90.00
Atoms (fractional coordinates):
1 Na 0.750 0.000 0.000
2 Na 0.750 0.999 0.500
3 Na 0.250 0.000 0.000
4 Na 0.250 0.001 0.500
5 Na 0.250 0.500 0.999
6 Na 0.250 0.500 0.500
7 Na 0.750 0.500 0.500
8 Na 0.750 0.500 0.001
9 Hg 0.500 0.171 0.829
10 Hg 0.500 0.171 0.342
11 Hg 0.500 0.829 0.171
12 Hg 0.500 0.658 0.829
13 Hg 0.000 0.171 0.342
14 Hg 0.500 0.829 0.658
15 Hg 0.000 0.829 0.658
16 Hg 0.000 0.171 0.829
17 Hg 0.000 0.342 0.171
18 Hg 0.500 0.342 0.171
19 Hg 0.000 0.658 0.829
20 Hg 0.000 0.829 0.171
21 Ag 0.502 0.333 0.667
22 Ag 0.998 0.333 0.667
23 Ag 0.002 0.667 0.333
24 Ag 0.498 0.667 0.333

Summary:
Energy in eV/atom: -1.24
DOS at the Fermi energy in states/eV per cell: 8.63
Space group: P6_3/mmc (194)



Record 2
# Na4AgHg4

A geometry-optimized Na4AgHg4 structure (GGA-PBE, Alexandria).

abc: 6.150 7.971 6.150
angles: 67.31 90.00 112.69
Atoms (fractional coordinates):
1 Na 0.601 0.797 0.804
2 Na 0.399 0.203 0.601
3 Na 0.804 0.203 0.196
4 Na 0.196 0.797 0.399
5 Hg 0.616 0.664 0.384
6 Hg 0.048 0.664 0.952
7 Hg 0.384 0.336 0.048
8 Hg 0.952 0.336 0.616
9 Ag 0.000 0.000 0.000

Summary:
Energy in eV/atom: -1.14
DOS at the Fermi energy in states/eV per cell: 3.71
Space group: I-42m (121)



Record 3
# Na8AgHg5

A geometry-optimized Na8AgHg5 structure (GGA-PBE, Alexandria).

abc: 7.969 7.969 7.969
angles: 110.46 107.52 110.46
Atoms (fractional coordinates):
1 Na 0.813 0.234 0.404
2 Na 0.170 0.766 0.580
3 Na 0.241 0.244 0.350
4 Na 0.003 0.109 0.759
5 Na 0.420 0.590 0.187
6 Na 0.596 0.410 0.830
7 Na 0.106 0.756 0.997
8 Na 0.650 0.891 0.894
9 Ag 0.250 0.500 0.750
10 Hg 0.946 0.396 0.121
11 Hg 0.500 0.000 0.500
12 Hg 0.879 0.825 0.276
13 Hg 0.450 0.175 0.054
14 Hg 0.724 0.604 0.550

Summary:
Energy in eV/atom: -1.21
DOS at the Fermi energy in states/eV per cell: 5.41
Space group: I-4 (82)



Q: DOS at the Fermi energy of number 1 (Na2AgHg3)?
A: 8.63 states/eV per cell